# 1
# TlTcPd2

A geometry-optimized TlTcPd2 structure (GGA-PBEsol, Alexandria).

POSCAR file:
```
TlTcPd2
1.0
0.000 3.197 3.197
3.197 0.000 3.197
3.197 3.197 0.000
Tl Tc Pd
1 1 2
direct
0.000 0.000 0.000
0.500 0.500 0.500
0.250 0.250 0.250
0.750 0.750 0.750
```

Output
The size of the total moment comes out at 0.594 μB/atom. Its density is 13.095 g/cm3. As for the formation energy: 30.50 kJ per mole of atoms. The calculation puts the total energy at -24.5 eV per cell. Its space group is No. 225.

=====

# 2
# Tc2PdW

A geometry-optimized Tc2PdW structure (GGA-PBEsol, Alexandria).

POSCAR file:
```
Tc2PdW
1.0
0.000 3.080 3.080
3.080 0.000 3.080
3.080 3.080 0.000
Tc Pd W
2 1 1
direct
0.250 0.250 0.250
0.750 0.750 0.750
0.000 0.000 0.000
0.500 0.500 0.500
```

Output
The size of the total moment comes out at 0.000 μB/atom. Its density is 13.819 g/cm3. As for the formation energy: 23.02 kJ per mole of atoms. The calculation puts the total energy at -41.3 eV per cell. Its space group is No. 225.

=====

# 3
# Zr3TcPd

A geometry-optimized Zr3TcPd structure (GGA-PBEsol, Alexandria).

POSCAR file:
```
Zr3TcPd
1.0
4.876 0.000 0.000
0.000 4.876 0.000
0.000 0.000 4.876
Zr Tc Pd
3 1 1
direct
0.000 0.000 0.500
0.000 0.500 0.000
0.500 0.000 0.000
0.000 0.000 0.000
0.500 0.500 0.500
```

Output
The size of the total moment comes out at 0.000 μB/atom. Its density is 6.848 g/cm3. As for the formation energy: 51.06 kJ per mole of atoms. The calculation puts the total energy at -41.8 eV per cell. Its space group is No. 221.